[1]
The following is a DFT calculation (PBE-GGA) of ScAs3 after structural relaxation.

Computed properties:
- SG = No. 166
- formation enthalpy at 0 K (eV/f.u.) = -0.047

Lattice parameters (Å, degrees): 3.069 3.069 28.980 90.00 90.00 120.00
Atoms (fractional coordinates):
Sc1 0.000 0.000 0.000
Sc2 0.333 0.667 0.667
Sc3 0.667 0.333 0.333
As1 0.000 0.000 0.256
As2 0.000 0.000 0.500
As3 0.000 0.000 0.744
As4 0.333 0.667 0.167
As5 0.333 0.667 0.411
As6 0.333 0.667 0.923
As7 0.667 0.333 0.077
As8 0.667 0.333 0.589
As9 0.667 0.333 0.833

[2]
The following is a DFT calculation (PBE-GGA) of ScAs3 after structural relaxation.

Computed properties:
- SG = No. 223
- formation enthalpy at 0 K (eV/f.u.) = -1.322

Lattice parameters (Å, degrees): 5.344 5.344 5.344 90.00 90.00 90.00
Atoms (fractional coordinates):
Sc1 0.000 0.000 0.000
Sc2 0.500 0.500 0.500
As1 0.000 0.250 0.500
As2 0.000 0.750 0.500
As3 0.250 0.500 0.000
As4 0.500 0.000 0.250
As5 0.500 0.000 0.750
As6 0.750 0.500 0.000

[3]
The following is a DFT calculation (PBE-GGA) of Sc5As after structural relaxation.

Computed properties:
- SG = No. 38
- formation enthalpy at 0 K (eV/f.u.) = -1.776
- offset from the most stable computed form (meV per atom) = 53

Lattice parameters (Å, degrees): 4.730 3.578 15.742 90.00 90.00 90.00
Atoms (fractional coordinates):
Sc1 0.000 0.000 0.000
Sc2 0.000 0.000 0.313
Sc3 0.000 0.000 0.664
Sc4 0.000 0.500 0.164
Sc5 0.000 0.500 0.500
Sc6 0.000 0.500 0.813
Sc7 0.500 0.000 0.126
Sc8 0.500 0.000 0.447
Sc9 0.500 0.500 0.626
Sc10 0.500 0.500 0.947
As1 0.500 0.000 0.776
As2 0.500 0.500 0.276

[4]
The following is a DFT calculation (PBE-GGA) of ScAs2 after structural relaxation.

Computed properties:
- SG = No. 139
- formation enthalpy at 0 K (eV/f.u.) = -1.321

Lattice parameters (Å, degrees): 2.997 2.997 14.978 90.00 90.00 90.00
Atoms (fractional coordinates):
Sc1 0.000 0.000 0.000
Sc2 0.500 0.500 0.500
As1 0.000 0.000 0.368
As2 0.000 0.000 0.632
As3 0.500 0.500 0.132
As4 0.500 0.500 0.868

[5]
The following is a DFT calculation (PBE-GGA) of Sc3As5 after structural relaxation.

Computed properties:
- SG = No. 193
- formation enthalpy at 0 K (eV/f.u.) = -5.638
- offset from the most stable computed form (meV per atom) = 100

Lattice parameters (Å, degrees): 8.144 8.144 5.443 90.00 90.00 120.00
Atoms (fractional coordinates):
Sc1 0.000 0.374 0.250
Sc2 0.000 0.626 0.750
Sc3 0.374 0.000 0.250
Sc4 0.374 0.374 0.750
Sc5 0.626 0.000 0.750
Sc6 0.626 0.626 0.250
As1 0.000 0.222 0.750
As2 0.000 0.778 0.250
As3 0.222 0.000 0.750
As4 0.222 0.222 0.250
As5 0.333 0.667 0.000
As6 0.333 0.667 0.500
As7 0.667 0.333 0.000
As8 0.667 0.333 0.500
As9 0.778 0.000 0.250
As10 0.778 0.778 0.750

[6]
The following is a DFT calculation (PBE-GGA) of ScAs3 after structural relaxation.

Computed properties:
- SG = No. 166
- formation enthalpy at 0 K (eV/f.u.) = -1.537

Lattice parameters (Å, degrees): 8.049 8.049 4.593 90.00 90.00 120.00
Atoms (fractional coordinates):
Sc1 0.000 0.000 0.000
Sc2 0.333 0.667 0.667
Sc3 0.667 0.333 0.333
As1 0.000 0.500 0.000
As2 0.167 0.333 0.333
As3 0.167 0.833 0.333
As4 0.333 0.167 0.667
As5 0.500 0.000 0.000
As6 0.500 0.500 0.000
As7 0.667 0.833 0.333
As8 0.833 0.167 0.667
As9 0.833 0.667 0.667

[7]
The following is a DFT calculation (PBE-GGA) of Sc3As5 after structural relaxation.

Computed properties:
- SG = No. 65
- formation enthalpy at 0 K (eV/f.u.) = -5.705
- offset from the most stable computed form (meV per atom) = 92

Lattice parameters (Å, degrees): 7.321 8.065 5.363 90.00 90.00 90.00
Atoms (fractional coordinates):
Sc1 0.000 0.000 0.000
Sc2 0.000 0.283 0.500
Sc3 0.000 0.717 0.500
Sc4 0.500 0.217 0.500
Sc5 0.500 0.500 0.000
Sc6 0.500 0.783 0.500
As1 0.000 0.500 0.000
As2 0.207 0.000 0.500
As3 0.250 0.250 0.000
As4 0.250 0.750 0.000
As5 0.293 0.500 0.500
As6 0.500 0.000 0.000
As7 0.707 0.500 0.500
As8 0.750 0.250 0.000
As9 0.750 0.750 0.000
As10 0.793 0.000 0.500

[8]
The following is a DFT calculation (PBE-GGA) of ScAs2 after structural relaxation.

Computed properties:
- SG = No. 140
- formation enthalpy at 0 K (eV/f.u.) = -2.332

Lattice parameters (Å, degrees): 5.694 5.694 7.477 90.00 90.00 90.00
Atoms (fractional coordinates):
Sc1 0.000 0.000 0.250
Sc2 0.000 0.000 0.750
Sc3 0.500 0.500 0.250
Sc4 0.500 0.500 0.750
As1 0.160 0.340 0.000
As2 0.160 0.660 0.500
As3 0.340 0.160 0.500
As4 0.340 0.840 0.000
As5 0.660 0.160 0.000
As6 0.660 0.840 0.500
As7 0.840 0.340 0.500
As8 0.840 0.660 0.000

[9]
The following is a DFT calculation (PBE-GGA) of ScAs4 after structural relaxation.

Computed properties:
- SG = No. 221
- formation enthalpy at 0 K (eV/f.u.) = 2.570
- offset from the most stable computed form (meV per atom) = 645

Lattice parameters (Å, degrees): 5.068 5.068 5.068 90.00 90.00 90.00
Atoms (fractional coordinates):
Sc1 0.000 0.000 0.000
As1 0.000 0.000 0.500
As2 0.000 0.500 0.000
As3 0.500 0.000 0.000
As4 0.500 0.500 0.500

[10]
The following is a DFT calculation (PBE-GGA) of ScAs2 after structural relaxation.

Computed properties:
- SG = No. 205
- formation enthalpy at 0 K (eV/f.u.) = -1.457

Lattice parameters (Å, degrees): 6.580 6.580 6.580 90.00 90.00 90.00
Atoms (fractional coordinates):
Sc1 0.000 0.000 0.000
Sc2 0.000 0.500 0.500
Sc3 0.500 0.000 0.500
Sc4 0.500 0.500 0.000
As1 0.106 0.606 0.894
As2 0.106 0.894 0.394
As3 0.394 0.106 0.894
As4 0.394 0.394 0.394
As5 0.606 0.606 0.606
As6 0.606 0.894 0.106
As7 0.894 0.106 0.606
As8 0.894 0.394 0.106

[11]
The following is a DFT calculation (PBE-GGA) of Sc5As after structural relaxation.

Computed properties:
- SG = No. 65
- formation enthalpy at 0 K (eV/f.u.) = -1.835
- offset from the most stable computed form (meV per atom) = 43

Lattice parameters (Å, degrees): 4.302 13.733 4.420 90.00 90.00 90.00
Atoms (fractional coordinates):
Sc1 0.000 0.000 0.000
Sc2 0.000 0.158 0.500
Sc3 0.000 0.331 0.000
Sc4 0.000 0.669 0.000
Sc5 0.000 0.842 0.500
Sc6 0.500 0.169 0.000
Sc7 0.500 0.342 0.500
Sc8 0.500 0.500 0.000
Sc9 0.500 0.658 0.500
Sc10 0.500 0.831 0.000
As1 0.000 0.500 0.500
As2 0.500 0.000 0.500

[12]
The following is a DFT calculation (PBE-GGA) of Sc3As4 after structural relaxation.

Computed properties:
- SG = No. 191
- formation enthalpy at 0 K (eV/f.u.) = -2.822
- offset from the most stable computed form (meV per atom) = 526

Lattice parameters (Å, degrees): 5.772 5.772 4.838 90.00 90.00 120.00
Atoms (fractional coordinates):
Sc1 0.000 0.500 0.000
Sc2 0.500 0.000 0.000
Sc3 0.500 0.500 0.000
As1 0.000 0.000 0.249
As2 0.000 0.000 0.751
As3 0.333 0.667 0.500
As4 0.667 0.333 0.500